1.
The following is a DFT calculation (PBE) of crystalline HfZrGaCu at its relaxed geometry.

abc: 4.6673 4.6673 4.6673
angles: 60.00 60.00 60.00
Positions (direct):
Hf: 0.0000 0.0000 0.0000
Zr: 0.5000 0.5000 0.5000
Ga: 0.2500 0.2500 0.2500
Cu: 0.7500 0.7500 0.7500

- energy of formation from the pure elements (eV/atom) = -0.31
- E (eV per atom) = -6.72
- space group = No. 216


2.
The following is a DFT calculation (PBE) of crystalline Fe2Ni8Pd at its relaxed geometry.

abc: 6.7030 6.7030 5.7022
angles: 105.17 105.17 30.90
Positions (direct):
Fe: 0.2263 0.2263 0.1460
Fe: 0.7737 0.7737 0.8540
Ni: 0.0472 0.0472 0.2191
Ni: 0.1425 0.1425 0.6954
Ni: 0.3164 0.3164 0.5929
Ni: 0.4061 0.4061 0.0389
Ni: 0.5939 0.5939 0.9611
Ni: 0.6836 0.6836 0.4071
Ni: 0.8575 0.8575 0.3046
Ni: 0.9528 0.9528 0.7809
Pd: 0.5000 0.5000 0.5000

- distance to the lowest polymorph of the same formula (eV/f.u.) = 0.00
- energy of formation from the pure elements (eV/atom) = -0.03
- E (eV per atom) = -6.24
- space group = No. 12